Record 1
The following is a DFT calculation (PBE) of a relaxed structure of Pm2TiS5.

For the total DFT energy (no corrections), the calculation gives -6.42 eV/atom. The calculation puts the magnetization at 0.000 μB/f.u. The value obtained for the energy relative to the elements, uncorrected is -1670 meV/atom. The calculation puts the energy above the most stable polymorph in this dataset at 87 meV/atom.

It has space group Cm (No. 8), with a = 10.1295 Å, b = 9.4992 Å, c = 4.6373 Å, α = 90.00°, β = 117.19° and γ = 90.00°. The distinct sites, in fractional coordinates, are Pm at (0.0000, 0.2075, 0.0000), Ti at (0.2252, 0.0000, 0.7228), S at (0.1882, 0.2573, 0.6880), S at (0.2202, 0.0000, 0.2190), S at (0.4359, 0.5000, 0.4358) and S at (0.4832, 0.0000, 0.9827).

***

Record 2
The following is a DFT calculation (PBE) of a relaxed structure of YS2IN.

For the total DFT energy (no corrections), the calculation gives -4.47 eV/atom. The calculation puts the magnetization at 0.000 μB/f.u. The value obtained for the energy relative to the elements, uncorrected is 447 meV/atom. The calculation puts the energy above the most stable polymorph in this dataset at 39 meV/atom.

It has space group P4/mmm (No. 123), with a = 5.2073 Å, b = 5.2073 Å, c = 3.9888 Å, α = 90.00°, β = 90.00° and γ = 90.00°. The distinct sites, in fractional coordinates, are Y at (0.0000, 0.0000, 0.0000), S at (0.0000, 0.5000, 0.5000), I at (0.5000, 0.5000, 0.5000) and N at (0.5000, 0.5000, 0.0000).

***

Record 3
The following is a DFT calculation (PBE) of a relaxed structure of AcLa2DySe6.

For the total DFT energy (no corrections), the calculation gives -5.89 eV/atom. The calculation puts the magnetization at 0.000 μB/f.u. The value obtained for the energy relative to the elements, uncorrected is -1938 meV/atom.

It has space group R3 (No. 146, hexagonal axes), with a = 7.6064 Å, b = 7.6064 Å, c = 19.9588 Å, α = 90.00°, β = 90.00° and γ = 120.00°. The distinct sites, in fractional coordinates, are Ac at (0.0000, 0.0000, 0.0000), La at (0.0000, 0.0000, 0.2069), La at (0.0000, 0.0000, 0.7130), Dy at (0.0000, 0.0000, 0.5086), Se at (0.0175, 0.3705, 0.7740) and Se at (0.0538, 0.6792, 0.2723).